(1)
Material: NiTe3
Method: DFT, PBE
State: optimized geometry

The structure in POSCAR format:
```
NiTe3
1.0
3.632 0.000 0.000
0.000 7.107 0.000
0.000 0.000 8.600
Ni Te
2 6
Cartesian
0.000 4.919 0.000
1.816 2.188 4.300
1.816 3.068 0.000
0.000 4.039 4.300
0.000 1.410 2.629
0.000 1.410 5.971
1.816 5.697 6.929
1.816 5.697 1.671
```

Calculated values
* DOS(E_F): 2.98 states/eV/f.u.
* formation energy without anion corrections: 9.7 meV per atom


(2)
Material: NiTe3
Method: DFT, PBE
State: optimized geometry

The structure in POSCAR format:
```
NiTe3
1.0
5.115 0.007 0.013
-1.712 4.820 0.013
-1.712 -2.429 4.163
Ni Te
1 3
Cartesian
0.000 0.000 0.000
1.702 -1.211 2.088
1.702 2.414 0.013
-1.712 1.196 2.088
```

Calculated values
* DOS(E_F): 1.97 states/eV/f.u.
* formation energy without anion corrections: 207.9 meV per atom


(3)
Material: NiTe
Method: DFT, PBE
State: optimized geometry

The structure in POSCAR format:
```
NiTe
1.0
-3.438 3.281 9.241
8.916 -3.031 4.393
1.528 3.511 -0.678
Ni Te
8 8
Cartesian
3.492 2.536 9.849
3.515 1.224 3.107
6.661 0.558 6.746
0.345 3.203 6.210
1.087 1.487 10.150
4.391 -1.238 3.484
5.986 -0.897 8.844
-0.508 1.146 4.790
1.592 3.066 8.311
5.414 0.695 4.645
5.365 1.493 8.669
1.641 2.267 4.286
3.000 0.959 11.725
2.479 -0.710 1.909
7.316 -1.849 6.910
-1.838 2.098 6.724
```

Calculated values
* DOS(E_F): 1.66 states/eV/f.u.
* formation energy without anion corrections: -127.1 meV per atom


(4)
Material: NiTe3
Method: DFT, PBE
State: optimized geometry

The structure in POSCAR format:
```
NiTe3
1.0
-2.619 0.523 -1.714
-1.569 -2.136 1.745
-2.812 7.431 6.568
Ni Te
1 3
Cartesian
0.000 0.000 0.000
-2.552 0.405 1.087
-1.406 3.716 3.284
-4.448 5.413 5.513
```

Calculated values
* DOS(E_F): 4.44 states/eV/f.u.
* formation energy without anion corrections: 194.6 meV per atom


(5)
Material: NiTe
Method: DFT, PBE
State: optimized geometry

The structure in POSCAR format:
```
NiTe
1.0
4.028 0.000 0.000
-2.014 3.488 0.000
0.000 0.000 5.279
Ni Te
2 2
Cartesian
0.000 0.000 0.000
0.000 0.000 2.639
0.000 2.326 1.320
2.014 1.163 3.959
```

Calculated values
* DOS(E_F): 1.34 states/eV/f.u.
* formation energy without anion corrections: -182.8 meV per atom


(6)
Material: Th4NiTe5
Method: DFT, PBE
State: optimized geometry

The structure in POSCAR format:
```
Th4NiTe5
1.0
-3.780 1.817 -0.719
-3.872 -6.208 4.672
3.946 5.966 6.916
Th Ni Te
4 1 5
Cartesian
-2.105 -0.946 8.678
-3.016 -4.835 3.645
-1.601 2.520 2.190
-0.689 6.409 7.223
-1.890 0.908 -0.360
-3.009 1.501 7.022
-1.203 4.371 4.773
-2.503 -2.797 6.095
-3.826 -2.196 1.976
-0.696 0.073 3.847
```

Calculated values
* DOS(E_F): 6.52 states/eV/f.u.
* formation energy without anion corrections: -934.7 meV per atom


Among the records above, which one has the highest DOS(E_F)?
Th4NiTe5


Please write out number 5 again, unchanged.
Material: NiTe
Method: DFT, PBE
State: optimized geometry

The structure in POSCAR format:
```
NiTe
1.0
4.028 0.000 0.000
-2.014 3.488 0.000
0.000 0.000 5.279
Ni Te
2 2
Cartesian
0.000 0.000 0.000
0.000 0.000 2.639
0.000 2.326 1.320
2.014 1.163 3.959
```

Calculated values
* DOS(E_F): 1.34 states/eV/f.u.
* formation energy without anion corrections: -182.8 meV per atom


Which of these has the highest formation energy without anion corrections?
number 2


Which of these has the highest formation energy without anion corrections?
number 2